(1)
Pr4SmTm3Se8: relaxed, PBE.

```
Pr4SmTm3Se8
1.0
-3.1581 -6.0327 -4.5706
5.1537 -5.5522 3.7674
-4.9242 4.6369 4.6399
Pr Sm Tm Se
4 1 3 8
Cartesian
-1.5790 -3.0164 -2.2853
-4.0412 -0.6979 0.0346
0.0000 0.0000 0.0000
-2.4621 2.3184 2.3199
2.5768 -2.7761 1.8837
0.9978 -5.7925 -0.4016
-1.4643 -3.4740 1.9183
0.1147 -0.4577 4.2036
-1.8583 -0.9867 6.1853
0.5511 -3.2554 3.9160
-1.9432 -0.6855 2.2474
-3.4031 -3.9376 3.9496
0.4744 -3.0104 -0.1130
-0.9855 -6.2626 1.5892
-3.4797 -3.6927 -0.0794
-1.0704 -5.9614 -2.3487
```

Computed properties:
Uncorrected energy, eV/atom: -5.85
Space group: No. 166
Total magnetic moment, μB per formula unit: 0.00

***

(2)
PrSm4TmSe8: relaxed, PBE.

```
PrSm4TmSe8
1.0
-2.3587 5.5646 -6.0783
-8.3096 1.6382 -1.3196
-3.2675 7.6316 2.2106
Pr Sm Tm Se
1 4 1 8
Cartesian
-3.2689 7.6075 2.1891
-7.0766 5.4468 -4.3553
-5.7603 4.6483 0.4469
-2.8196 6.5886 -1.9047
-1.6540 3.8388 1.0989
-6.8593 9.3865 -0.8329
-9.3209 8.2890 -0.8823
-6.2882 10.2901 -3.3075
-5.0861 7.4541 -0.2098
-3.4802 3.7761 -1.2365
-4.5330 6.5798 -4.3051
-7.6668 4.5121 -1.7991
-8.9090 7.4425 -5.0000
-10.4593 10.9920 -4.0100
```

Computed properties:
Uncorrected energy, eV/atom: -5.72
Space group: No. 160
Total magnetic moment, μB per formula unit: 0.00

***

(3)
Pr4SmTmSe8: relaxed, PBE.

```
Pr4SmTmSe8
1.0
8.6755 0.0000 0.0000
4.3378 7.5132 0.0000
4.3378 2.5044 7.0681
Pr Sm Tm Se
4 1 1 8
Cartesian
8.6755 5.0088 0.8934
4.3378 4.9502 3.5522
6.4559 1.2815 3.5522
2.2197 1.2815 3.5522
4.3378 2.5044 7.0099
8.6755 5.0088 6.1756
8.6755 7.5729 5.3255
10.8961 3.7268 5.3255
6.4550 3.7268 5.3255
4.3378 2.5044 1.7915
8.6755 2.3042 1.7940
6.3333 6.3611 1.7940
11.0178 6.3611 1.7940
13.0133 7.5132 5.1254
```

Computed properties:
Uncorrected energy, eV/atom: -5.73
Space group: No. 160
Total magnetic moment, μB per formula unit: 0.67

***

(4)
PrSm4Tm3Se8: relaxed, PBE.

```
PrSm4Tm3Se8
1.0
-3.1743 -7.5792 0.3895
3.2932 -0.9913 7.5475
-4.8969 6.4380 -1.5032
Pr Sm Tm Se
1 4 3 8
Cartesian
1.6466 -0.4957 3.7738
-1.5871 -3.7896 0.1948
-4.0356 -0.5706 -0.5568
0.0000 0.0000 0.0000
-2.4485 3.2190 -0.7516
0.0595 -4.2852 3.9685
-2.3890 -1.0663 3.2169
-0.8019 2.7233 3.0222
-3.2027 3.7190 4.2100
-0.8324 0.6023 4.9350
-2.4365 1.0891 1.3371
-4.7395 0.0497 4.3986
-0.0385 -2.1823 2.0353
-2.3415 -3.2217 5.0968
-3.9456 -2.7348 1.4989
-1.5753 -5.8516 2.2239
```

Computed properties:
Uncorrected energy, eV/atom: -5.81
Space group: No. 166
Total magnetic moment, μB per formula unit: 0.00

***

(5)
Pr2SmTmSe6: relaxed, PBE.

```
Pr2SmTmSe6
1.0
-5.6378 -3.7351 -3.0174
1.2478 -4.7425 -5.5491
-0.5796 -7.6550 1.4704
Pr Sm Tm Se
2 1 1 6
Cartesian
-2.5364 -7.7855 -3.7997
-0.6353 -7.3505 1.1974
-1.4204 -3.0614 -2.6441
-3.9105 -11.0953 -6.2215
-3.3386 -5.2218 -2.5719
-0.1233 -7.1476 -5.3790
-4.6285 -8.3548 -5.8055
-2.0364 -10.7734 -4.1379
-4.2983 -8.8855 -1.5681
-0.4435 -8.2346 -1.6286
```

Computed properties:
Uncorrected energy, eV/atom: -5.80
Space group: No. 146
Total magnetic moment, μB per formula unit: 0.00

***

(6)
Pr2SmTm3Se6: relaxed, PBE.

```
Pr2SmTm3Se6
1.0
4.0508 0.0000 0.0000
0.0000 8.4234 0.1125
-2.0254 -2.6235 8.7092
Pr Sm Tm Se
2 1 3 6
Cartesian
2.0254 3.8646 5.8734
0.0000 1.9352 2.9483
2.0254 0.0000 0.0000
2.0254 4.2117 0.0562
2.0254 -0.3391 5.7998
0.0000 6.1390 3.0219
0.0000 6.1101 5.8623
2.0254 4.1756 2.8761
2.0254 -0.3103 2.9594
2.0254 -0.4210 8.6415
0.0000 6.2208 0.1802
0.0000 1.6242 5.9456
```

Computed properties:
Uncorrected energy, eV/atom: -5.81
Space group: No. 12
Total magnetic moment, μB per formula unit: 0.00

***

(7)
Pr4Sm3TmSe8: relaxed, PBE.

```
Pr4Sm3TmSe8
1.0
-7.5952 0.6605 -3.4212
-1.7160 -7.9603 2.2728
2.4712 5.5038 5.7816
Pr Sm Tm Se
4 3 1 8
Cartesian
-3.7976 0.3302 -1.7106
-2.5620 3.0821 1.1802
0.0000 0.0000 0.0000
1.2356 2.7519 2.8908
-4.6556 -3.6499 -0.5742
-3.4200 -0.8980 2.3166
0.3776 -1.2283 4.0272
-0.8580 -3.9802 1.1364
-0.6389 -0.2248 6.5959
-1.9032 -3.0406 3.6381
-1.1147 0.8914 2.6467
-4.5245 0.1131 4.8456
-2.3155 -1.9091 -0.2124
-5.7254 -2.6874 1.9865
-4.9369 1.2446 0.9952
-6.2012 -1.5712 -1.9626
```

Computed properties:
Uncorrected energy, eV/atom: -5.91
Space group: No. 166
Total magnetic moment, μB per formula unit: 0.00

***

(8)
PrSm2Tm3Se6: relaxed, PBE.

```
PrSm2Tm3Se6
1.0
4.0507 0.0000 0.0000
0.0000 8.3578 0.1448
-2.0253 -2.5693 8.6665
Pr Sm Tm Se
1 2 3 6
Cartesian
2.0253 0.0000 0.0000
2.0253 3.8692 5.8885
0.0000 1.9193 2.9228
2.0253 4.1789 0.0724
2.0253 -0.3229 5.8280
0.0000 6.1113 2.9833
0.0000 6.0450 5.8109
2.0253 4.1058 2.9225
2.0253 -0.2566 3.0004
2.0253 -0.3462 8.6515
0.0000 6.1346 0.1598
0.0000 1.6827 5.8888
```

Computed properties:
Uncorrected energy, eV/atom: -5.80
Space group: No. 12
Total magnetic moment, μB per formula unit: 0.00

***

(9)
Pr3Sm4TmSe8: relaxed, PBE.

```
Pr3Sm4TmSe8
1.0
-0.9723 7.8577 -2.8052
-8.0658 -0.2052 2.2210
5.9646 -1.7353 5.6478
Pr Sm Tm Se
3 4 1 8
Cartesian
-4.5191 3.8262 -0.2921
-1.5368 2.9586 2.5318
-1.0506 -0.9703 3.9344
-0.4862 3.9288 -1.4026
2.4961 3.0612 1.4213
0.0000 0.0000 0.0000
2.9823 -0.8677 2.8239
-4.0329 -0.1026 1.1105
-6.2505 1.7548 1.0110
-3.3713 0.9172 3.7378
0.7601 1.0347 2.6348
-6.7535 5.8193 -0.4400
3.6799 0.0978 5.5037
-3.8337 4.8825 2.4289
0.2977 4.9999 1.3259
3.1770 4.1623 4.0526
```

Computed properties:
Uncorrected energy, eV/atom: -5.89
Space group: No. 166
Total magnetic moment, μB per formula unit: 0.00

***

(10)
PrSmTm2Se4: relaxed, PBE.

```
PrSmTm2Se4
1.0
4.0324 0.0000 0.0000
0.0000 7.3520 -0.2721
0.0000 2.4611 6.5810
Pr Sm Tm Se
1 1 2 4
Cartesian
2.0162 3.6760 -0.1360
0.0000 4.9065 3.1545
0.0000 2.4611 6.5810
2.0162 1.2305 3.2905
0.0001 7.4881 4.6591
4.0324 2.3249 1.6499
2.0162 6.2569 1.4140
2.0162 3.5562 4.8949
```

Computed properties:
Uncorrected energy, eV/atom: -5.80
Space group: No. 10
Total magnetic moment, μB per formula unit: 0.00

***

(11)
Pr2Sm3TmSe6: relaxed, PBE.

```
Pr2Sm3TmSe6
1.0
4.1578 0.0000 0.0000
0.0000 8.4027 0.3414
-2.0789 -2.3795 8.7780
Pr Sm Tm Se
2 3 1 6
Cartesian
2.0789 3.9990 6.0297
0.0000 2.0243 3.0898
2.0789 4.2014 0.1707
2.0789 -0.1683 5.8028
0.0000 6.1916 3.3167
2.0789 0.0000 0.0000
0.0000 6.1557 6.2875
2.0789 4.1616 3.0663
2.0789 -0.1324 2.8320
2.0789 -0.3684 8.8038
0.0000 6.3916 0.3157
0.0000 1.8616 6.0532
```

Computed properties:
Uncorrected energy, eV/atom: -5.89
Space group: No. 12
Total magnetic moment, μB per formula unit: 0.00

***

(12)
PrSmTm2Se6: relaxed, PBE.

```
PrSmTm2Se6
1.0
-2.6784 -3.2381 -5.9634
4.5354 -2.8594 -4.9473
0.4744 -7.6833 -0.5035
Pr Sm Tm Se
1 1 2 6
Cartesian
1.7748 -9.3092 -9.1294
0.6105 -2.3584 -3.4559
1.1713 -6.6591 -5.8357
0.4800 -7.4850 -0.6137
-0.5045 -4.5627 -4.9985
3.5699 -5.1968 -5.9541
0.5428 -6.5729 -8.5749
2.6310 -9.0712 -6.3156
-0.9967 -8.4743 -5.4059
1.7568 -7.2679 -3.1030
```

Computed properties:
Uncorrected energy, eV/atom: -5.77
Space group: No. 146
Total magnetic moment, μB per formula unit: 0.00

***

(13)
Pr3SmTm2Se6: relaxed, PBE.

```
Pr3SmTm2Se6
1.0
7.1463 -0.0130 -0.0023
-3.5827 6.1834 -0.0023
-1.1909 -2.0621 6.9645
Pr Sm Tm Se
3 1 2 6
Cartesian
-2.4564 4.1580 3.4800
4.8291 -0.0497 3.4800
1.1863 2.0541 3.4800
0.0000 0.0000 0.0000
-0.0008 4.1146 -0.0023
3.5643 2.0557 -0.0023
3.6058 1.9875 5.3372
2.3401 4.0519 1.5877
-1.2331 2.1208 1.6227
-0.0805 4.1164 5.3372
0.0325 0.0563 5.3722
2.4532 -0.0082 1.6227
```

Computed properties:
Uncorrected energy, eV/atom: -5.86
Space group: No. 12
Total magnetic moment, μB per formula unit: 0.00

***

(14)
PrSm3Y2Se6: relaxed, PBE.

```
PrSm3Y2Se6
1.0
-6.3284 -2.2018 2.6708
5.4383 -4.6747 -0.7752
2.4421 3.7526 5.6458
Pr Sm Y Se
1 3 2 6
Cartesian
0.0000 0.0000 0.0000
4.7775 -2.4029 2.5988
-3.2255 -0.7210 4.9426
0.7760 -1.5619 3.7707
1.5054 -3.8481 0.3766
-2.3954 -3.0283 1.5190
-0.8544 -1.8816 6.2455
-0.0615 -4.1583 2.7741
2.4064 -1.2423 1.2958
3.1954 -2.7327 5.0595
1.6136 1.0344 4.7673
-1.6433 -0.3912 2.4818
```

Computed properties:
Uncorrected energy, eV/atom: -6.20
Space group: No. 12
Total magnetic moment, μB per formula unit: 0.00

***

(15)
PrSmY2Se6: relaxed, PBE.

```
PrSmY2Se6
1.0
7.3462 0.0004 0.0003
3.6734 6.3619 0.0001
3.6730 2.1209 6.5282
Pr Sm Y Se
1 1 2 6
Cartesian
11.0192 6.3624 3.6823
3.6730 2.1205 0.3552
7.3467 4.2414 2.9758
3.6730 2.1214 6.2779
6.2964 1.9716 1.6084
5.9050 6.2852 1.6082
9.8378 4.4679 1.6087
8.3252 6.2106 4.8750
8.5618 2.4089 4.8752
5.1517 4.1054 4.8751
```

Computed properties:
Uncorrected energy, eV/atom: -6.19
Space group: No. 146
Total magnetic moment, μB per formula unit: 0.00

***

(16)
PrSm4YSe8: relaxed, PBE.

```
PrSm4YSe8
1.0
-8.2669 1.1553 2.0223
-5.9090 0.5162 -6.2116
-5.6316 -6.4218 -1.1142
Pr Sm Y Se
1 4 1 8
Cartesian
-5.6290 -6.4016 -1.1151
-9.5622 0.2548 -2.7581
-5.7673 -2.9599 -3.6468
-6.9386 -2.6424 0.4431
-2.8323 -3.2163 -0.5614
-10.2456 -5.0079 -2.5453
-10.7311 -4.0651 -5.0685
-11.9476 -3.7353 -0.8206
-7.6827 -4.3314 -1.8639
-4.9685 -1.3155 -1.3207
-9.0665 -0.6991 -0.1867
-7.8266 -1.0352 -4.5164
-12.1736 -0.4277 -3.4530
-14.8329 -3.3878 -3.9848
```

Computed properties:
Uncorrected energy, eV/atom: -5.87
Space group: No. 160
Total magnetic moment, μB per formula unit: 0.00

***

(17)
Pr3SmY2Se6: relaxed, PBE.

```
Pr3SmY2Se6
1.0
-2.2100 4.9011 -4.8245
-3.3120 -0.5640 6.3948
6.2500 3.1726 2.1593
Pr Sm Y Se
3 1 2 6
Cartesian
-0.0069 1.9157 5.6406
0.7349 5.5941 -1.9109
0.3640 3.7549 1.8648
0.0000 0.0000 0.0000
-2.9443 1.2595 2.6515
-2.5777 3.0777 -1.0812
0.8022 6.6059 0.9274
-2.6172 3.9527 1.6683
-0.0742 0.9039 2.8022
0.4290 4.7548 4.7275
3.3452 3.5571 2.0613
0.2990 2.7550 -0.9979
```

Computed properties:
Uncorrected energy, eV/atom: -6.23
Space group: No. 12
Total magnetic moment, μB per formula unit: 0.00

***

(18)
Pr2SmYSe4: relaxed, PBE.

```
Pr2SmYSe4
1.0
-2.3275 -1.4368 3.1021
-4.7094 -2.9084 -4.8806
2.1192 -6.7519 -1.5373
Pr Sm Y Se
2 1 1 4
Cartesian
2.1192 -6.7519 -1.5373
-0.1041 -4.0943 0.7824
-3.5185 -2.1726 -0.8893
-1.2951 -4.8301 -3.2089
-1.8899 -7.2129 -4.7588
-3.0278 -3.8842 1.4430
-4.0828 -4.6047 -2.4391
-0.8349 -6.4924 -0.8767
```

Computed properties:
Uncorrected energy, eV/atom: -6.15
Space group: No. 10
Total magnetic moment, μB per formula unit: 0.00

***

(19)
Pr4SmY3Se8: relaxed, PBE.

```
Pr4SmY3Se8
1.0
-6.6728 -0.4387 4.9163
5.0271 -0.8529 6.7470
1.0186 6.5140 -5.0423
Pr Sm Y Se
4 1 3 8
Cartesian
-3.3364 -0.2193 2.4582
-2.8271 3.0377 -0.0630
0.0000 0.0000 0.0000
0.5093 3.2570 -2.5212
2.5135 -0.4265 3.3735
-0.8229 -0.6458 5.8316
-0.3136 2.6112 3.3105
3.0228 2.8305 0.8523
3.0564 5.7025 1.1935
2.5509 2.4847 3.6840
0.1568 2.9935 0.4800
-0.2425 5.4857 3.6240
-0.3846 -0.2633 2.9969
-0.7839 2.2289 6.1410
-3.1780 2.7377 2.9370
-3.6835 -0.4802 5.4274
```

Computed properties:
Uncorrected energy, eV/atom: -6.26
Space group: No. 166
Total magnetic moment, μB per formula unit: 0.00

***

(20)
Pr2SmZnSe5: relaxed, PBE.

```
Pr2SmZnSe5
1.0
-3.3770 -0.4392 2.2252
3.1886 -8.5059 -0.5581
6.7549 1.8357 10.6137
Pr Sm Zn Se
4 2 2 10
Cartesian
5.1386 -5.2752 10.4759
5.0247 -0.8388 7.4601
2.6796 -1.4939 3.7718
0.7347 -6.4899 3.5527
2.8217 -4.7604 7.0613
0.7386 -3.1659 0.4961
4.6993 0.6291 10.9743
4.2189 -7.0993 5.0016
1.1539 -6.0262 0.5619
4.6621 -1.8822 10.4223
6.5523 -7.2328 8.5165
5.5708 -3.9740 7.6701
3.2885 -7.6639 7.1967
2.2604 -1.9398 6.7660
3.3601 -4.8316 4.1459
0.0256 0.1266 3.7823
0.2022 -3.3510 3.3640
0.2100 -0.2792 0.2636
```

Computed properties:
Uncorrected energy, eV/atom: -5.26
Space group: No. 36
Total magnetic moment, μB per formula unit: 0.00